# 1
Tb2PrHo4Er: optimized geometry, PBE.

Calculated values
Its volume is 528.1 Å³ per cell. The value obtained for the calculated formation energy is 434 meV/atom. As for the total moment: 2.85 μB/f.u. As for the space group: C2/c.

Lattice parameters (Å, degrees): 9.481 9.481 6.787 110.97 110.97 88.62
Fractional coordinates of all 16 atoms:
Tb 0.000 0.000 0.000
Tb 0.000 0.000 0.500
Tb 0.000 0.500 0.000
Tb 0.500 0.000 0.500
Pr 0.000 0.500 0.500
Pr 0.500 0.000 0.000
Ho 0.251 0.252 0.003
Ho 0.252 0.251 0.503
Ho 0.252 0.748 0.001
Ho 0.252 0.748 0.499
Ho 0.748 0.252 0.501
Ho 0.748 0.252 0.999
Ho 0.748 0.749 0.497
Ho 0.749 0.748 0.997
Er 0.500 0.500 0.000
Er 0.500 0.500 0.500

=====

# 2
Zn2CuSi: optimized geometry, PBE.

Calculated values
Its volume is 61.4 Å³ per cell. As for the total moment: 0.00 μB/f.u. As for the raw formation energy: 102 meV per atom. As for the space group: Imm2.

Lattice parameters (Å, degrees): 6.186 6.186 6.186 155.99 140.23 47.00
Fractional coordinates of all 4 atoms:
Zn 0.000 0.000 0.000
Zn 0.677 0.177 0.500
Cu 0.210 0.710 0.500
Si 0.397 0.397 0.000

=====

# 3
YRuAu2: optimized geometry, PBE.

Calculated values
Its volume is 75.3 Å³ per cell. The value obtained for the calculated formation energy is -285 meV/atom. As for the total moment: 0.93 μB/f.u. As for the space group: I4/mmm.

Lattice parameters (Å, degrees): 5.276 5.276 5.276 133.75 133.75 67.47
Fractional coordinates of all 4 atoms:
Y 0.000 0.000 0.000
Ru 0.500 0.500 0.000
Au 0.250 0.750 0.500
Au 0.750 0.250 0.500

=====

# 4
PmNd2Tm7: optimized geometry, PBE.

Calculated values
Its volume is 314.0 Å³ per cell. The value obtained for the calculated formation energy is 24 meV/atom. As for the total moment: 0.00 μB/f.u. As for the space group: P-1.

Lattice parameters (Å, degrees): 6.115 7.076 7.936 76.95 75.08 73.65
Fractional coordinates of all 10 atoms:
Pm 0.000 0.000 0.000
Nd 0.203 0.797 0.600
Nd 0.797 0.203 0.400
Tm 0.000 0.500 0.000
Tm 0.198 0.301 0.601
Tm 0.400 0.101 0.199
Tm 0.401 0.599 0.198
Tm 0.599 0.401 0.802
Tm 0.600 0.899 0.801
Tm 0.802 0.699 0.399

=====

# 5
UAlRu: optimized geometry, PBE.

Calculated values
Its volume is 164.5 Å³ per cell. The value obtained for the calculated formation energy is -381 meV/atom. As for the total moment: 1.74 μB/f.u. As for the space group: P-62m.

Lattice parameters (Å, degrees): 6.734 6.734 4.188 90.00 90.00 120.00
Fractional coordinates of all 9 atoms:
U 0.000 0.425 0.000
U 0.425 0.000 0.000
U 0.575 0.575 0.000
Al 0.000 0.767 0.500
Al 0.233 0.233 0.500
Al 0.767 0.000 0.500
Ru 0.000 0.000 0.000
Ru 0.333 0.667 0.500
Ru 0.667 0.333 0.500

=====

# 6
Ac2NiRu: optimized geometry, PBE.

Calculated values
Its volume is 104.3 Å³ per cell. The value obtained for the calculated formation energy is -175 meV/atom. As for the total moment: 0.00 μB/f.u. As for the space group: Amm2.

Lattice parameters (Å, degrees): 4.253 6.237 6.237 39.09 90.00 90.00
Fractional coordinates of all 4 atoms:
Ac 0.000 0.000 0.000
Ac 0.500 0.276 0.276
Ni 0.000 0.700 0.700
Ru 0.500 0.572 0.572

=====

# 7
Sm3Y3Sc: optimized geometry, PBE.

Calculated values
Its volume is 448.6 Å³ per cell. The value obtained for the calculated formation energy is 28 meV/atom. As for the total moment: 0.00 μB/f.u. As for the space group: P6_3/m.

Lattice parameters (Å, degrees): 9.561 9.561 5.667 90.00 90.00 120.00
Fractional coordinates of all 14 atoms:
Sm 0.098 0.617 0.250
Sm 0.383 0.481 0.250
Sm 0.481 0.098 0.750
Sm 0.519 0.902 0.250
Sm 0.617 0.519 0.750
Sm 0.902 0.383 0.750
Y 0.052 0.811 0.750
Y 0.189 0.241 0.750
Y 0.241 0.052 0.250
Y 0.759 0.948 0.750
Y 0.811 0.759 0.250
Y 0.948 0.189 0.250
Sc 0.333 0.667 0.750
Sc 0.667 0.333 0.250

=====

# 8
Nd3Sm5Er3: optimized geometry, PBE.

Calculated values
Its volume is 444.9 Å³ per cell. The value obtained for the calculated formation energy is 765 meV/atom. As for the total moment: 0.01 μB/f.u. As for the space group: P-62m.

Lattice parameters (Å, degrees): 9.639 9.639 5.529 90.00 90.00 120.00
Fractional coordinates of all 11 atoms:
Nd 0.000 0.402 0.000
Nd 0.402 0.000 0.000
Nd 0.598 0.598 0.000
Sm 0.000 0.618 0.500
Sm 0.333 0.667 0.500
Sm 0.382 0.382 0.500
Sm 0.618 0.000 0.500
Sm 0.667 0.333 0.500
Er 0.000 0.241 0.500
Er 0.241 0.000 0.500
Er 0.759 0.759 0.500